First-principles (PBE) data for a relaxed LuSnAuS3 crystal, as listed in OQMD via LeMat-Bulk.

Total moment   0.0 μB/cell
Space-group type   Pnma (62)
Offset from the most stable computed form   38 meV/atom

Cell lengths 14.289, 4.002, 10.866 Å; angles 90.00, 90.00, 90.00 degrees
Atoms (fractional coordinates):
Au (0.898, 0.250, 0.038)
Au (0.398, 0.250, 0.462)
Au (0.602, 0.750, 0.538)
Au (0.102, 0.750, 0.962)
Lu (0.510, 0.750, 0.151)
Lu (0.010, 0.750, 0.349)
Lu (0.990, 0.250, 0.651)
Lu (0.490, 0.250, 0.849)
S (0.604, 0.250, 0.040)
S (0.144, 0.750, 0.171)
S (0.406, 0.250, 0.248)
S (0.906, 0.250, 0.252)
S (0.644, 0.750, 0.329)
S (0.104, 0.250, 0.460)
S (0.896, 0.750, 0.540)
S (0.356, 0.250, 0.671)
S (0.094, 0.750, 0.748)
S (0.594, 0.750, 0.752)
S (0.856, 0.250, 0.829)
S (0.396, 0.750, 0.960)
Sn (0.256, 0.250, 0.081)
Sn (0.756, 0.250, 0.419)
Sn (0.244, 0.750, 0.581)
Sn (0.744, 0.750, 0.919)